(w)
The following is a DFT calculation (GGA-PBE) of crystalline NaPtF at its relaxed geometry.

Geometry as CIF:
```
data_NaPtF
_chemical_formula_sum 'Na2 Pt2 F2'
_symmetry_space_group_name_H-M 'P 1'
_symmetry_Int_Tables_number 1
_cell_length_a 2.920
_cell_length_b 2.920
_cell_length_c 11.557
_cell_angle_alpha 82.73
_cell_angle_beta 104.64
_cell_angle_gamma 119.96
loop_
_symmetry_equiv_pos_as_xyz
'x,y,z'
loop_
_atom_site_label
_atom_site_type_symbol
_atom_site_fract_x
_atom_site_fract_y
_atom_site_fract_z
Pt1 Pt 0.100 0.585 0.948
Pt2 Pt 0.634 0.251 0.149
F1 F 0.823 0.251 0.338
F2 F 0.747 0.583 0.595
Na1 Na 0.209 0.250 0.723
Na2 Na 0.278 0.917 0.459
```

(x)
The following is a DFT calculation (GGA-PBE) of crystalline NaPtF at its relaxed geometry.

Geometry as CIF:
```
data_NaPtF
_chemical_formula_sum 'Na2 Pt2 F2'
_symmetry_space_group_name_H-M 'P 1'
_symmetry_Int_Tables_number 1
_cell_length_a 8.255
_cell_length_b 2.847
_cell_length_c 9.271
_cell_angle_alpha 107.81
_cell_angle_beta 140.18
_cell_angle_gamma 100.02
loop_
_symmetry_equiv_pos_as_xyz
'x,y,z'
loop_
_atom_site_label
_atom_site_type_symbol
_atom_site_fract_x
_atom_site_fract_y
_atom_site_fract_z
Na1 Na 0.145 0.574 0.796
Na2 Na 0.863 0.895 0.257
F1 F 0.235 0.996 0.672
F2 F 0.555 0.711 0.228
Pt1 Pt 0.303 0.641 0.286
Pt2 Pt 0.689 0.812 0.764
```

(y)
The following is a DFT calculation (GGA-PBE) of crystalline NaPtF at its relaxed geometry.

Geometry as CIF:
```
data_NaPtF
_chemical_formula_sum 'Na2 Pt2 F2'
_symmetry_space_group_name_H-M 'P 1'
_symmetry_Int_Tables_number 1
_cell_length_a 10.715
_cell_length_b 2.884
_cell_length_c 2.883
_cell_angle_alpha 89.99
_cell_angle_beta 90.80
_cell_angle_gamma 90.42
loop_
_symmetry_equiv_pos_as_xyz
'x,y,z'
loop_
_atom_site_label
_atom_site_type_symbol
_atom_site_fract_x
_atom_site_fract_y
_atom_site_fract_z
Pt1 Pt 0.740 0.967 0.385
Pt2 Pt 0.914 0.472 0.894
F1 F 0.130 0.478 0.904
F2 F 0.406 0.957 0.368
Na1 Na 0.490 0.459 0.873
Na2 Na 0.202 0.980 0.409
```

Tell me which of them is the most stable. Sure, it is (y).

(w)
The following is a DFT calculation (GGA-PBE) of crystalline NaPtF at its relaxed geometry.

Geometry as CIF:
```
data_NaPtF
_chemical_formula_sum 'Na4 Pt4 F4'
_symmetry_space_group_name_H-M 'P 1'
_symmetry_Int_Tables_number 1
_cell_length_a 5.753
_cell_length_b 2.884
_cell_length_c 11.696
_cell_angle_alpha 90.00
_cell_angle_beta 90.00
_cell_angle_gamma 90.00
loop_
_symmetry_equiv_pos_as_xyz
'x,y,z'
loop_
_atom_site_label
_atom_site_type_symbol
_atom_site_fract_x
_atom_site_fract_y
_atom_site_fract_z
Pt1 Pt 0.136 0.750 0.056
Pt2 Pt 0.636 0.750 0.444
Pt3 Pt 0.364 0.250 0.556
Pt4 Pt 0.864 0.250 0.944
F1 F 0.871 0.250 0.312
F2 F 0.371 0.250 0.188
F3 F 0.629 0.750 0.812
F4 F 0.129 0.750 0.688
Na1 Na 0.319 0.250 0.823
Na2 Na 0.181 0.750 0.323
Na3 Na 0.681 0.750 0.177
Na4 Na 0.819 0.250 0.677
```

(x)
The following is a DFT calculation (GGA-PBE) of crystalline NaPtF at its relaxed geometry.

Geometry as CIF:
```
data_NaPtF
_chemical_formula_sum 'Na2 Pt2 F2'
_symmetry_space_group_name_H-M 'P 1'
_symmetry_Int_Tables_number 1
_cell_length_a 3.642
_cell_length_b 3.642
_cell_length_c 8.212
_cell_angle_alpha 90.00
_cell_angle_beta 90.00
_cell_angle_gamma 90.00
loop_
_symmetry_equiv_pos_as_xyz
'x,y,z'
loop_
_atom_site_label
_atom_site_type_symbol
_atom_site_fract_x
_atom_site_fract_y
_atom_site_fract_z
Pt1 Pt 0.500 0.000 0.033
Pt2 Pt 0.000 0.500 0.967
Na1 Na 0.500 0.000 0.640
Na2 Na 0.000 0.500 0.360
F1 F 0.500 0.500 0.500
F2 F 0.000 0.000 0.500
```

Tell me which of them is the most stable. Sure, it is (w).

(w)
The following is a DFT calculation (GGA-PBE) of crystalline NaPtF at its relaxed geometry.

Geometry as CIF:
```
data_NaPtF
_chemical_formula_sum 'Na2 Pt2 F2'
_symmetry_space_group_name_H-M 'P 1'
_symmetry_Int_Tables_number 1
_cell_length_a 3.365
_cell_length_b 3.365
_cell_length_c 8.878
_cell_angle_alpha 90.00
_cell_angle_beta 90.00
_cell_angle_gamma 90.00
loop_
_symmetry_equiv_pos_as_xyz
'x,y,z'
loop_
_atom_site_label
_atom_site_type_symbol
_atom_site_fract_x
_atom_site_fract_y
_atom_site_fract_z
Pt1 Pt 0.000 0.500 0.951
Pt2 Pt 0.500 0.000 0.049
F1 F 0.500 0.000 0.371
F2 F 0.000 0.500 0.629
Na1 Na 0.000 0.500 0.366
Na2 Na 0.500 0.000 0.634
```

(x)
The following is a DFT calculation (GGA-PBE) of crystalline NaPtF at its relaxed geometry.

Geometry as CIF:
```
data_NaPtF
_chemical_formula_sum 'Na1 Pt1 F1'
_symmetry_space_group_name_H-M 'P 1'
_symmetry_Int_Tables_number 1
_cell_length_a 4.354
_cell_length_b 4.354
_cell_length_c 2.855
_cell_angle_alpha 90.00
_cell_angle_beta 90.00
_cell_angle_gamma 120.00
loop_
_symmetry_equiv_pos_as_xyz
'x,y,z'
loop_
_atom_site_label
_atom_site_type_symbol
_atom_site_fract_x
_atom_site_fract_y
_atom_site_fract_z
Na1 Na 0.667 0.333 0.500
Pt1 Pt 0.333 0.667 0.000
F1 F 0.000 0.000 0.000
```

(y)
The following is a DFT calculation (GGA-PBE) of crystalline NaPtF at its relaxed geometry.

Geometry as CIF:
```
data_NaPtF
_chemical_formula_sum 'Na2 Pt2 F2'
_symmetry_space_group_name_H-M 'P 1'
_symmetry_Int_Tables_number 1
_cell_length_a 17.480
_cell_length_b 8.646
_cell_length_c 8.646
_cell_angle_alpha 160.49
_cell_angle_beta 164.03
_cell_angle_gamma 15.97
loop_
_symmetry_equiv_pos_as_xyz
'x,y,z'
loop_
_atom_site_label
_atom_site_type_symbol
_atom_site_fract_x
_atom_site_fract_y
_atom_site_fract_z
Na1 Na 0.751 0.639 0.268
Na2 Na 0.249 0.268 0.639
Pt1 Pt 0.750 0.426 0.473
Pt2 Pt 0.250 0.473 0.426
F1 F 0.749 0.265 0.642
F2 F 0.251 0.642 0.265
```

(z)
The following is a DFT calculation (GGA-PBE) of crystalline NaPtF at its relaxed geometry.

Geometry as CIF:
```
data_NaPtF
_chemical_formula_sum 'Na4 Pt4 F4'
_symmetry_space_group_name_H-M 'P 1'
_symmetry_Int_Tables_number 1
_cell_length_a 16.062
_cell_length_b 4.553
_cell_length_c 2.782
_cell_angle_alpha 90.00
_cell_angle_beta 90.00
_cell_angle_gamma 90.00
loop_
_symmetry_equiv_pos_as_xyz
'x,y,z'
loop_
_atom_site_label
_atom_site_type_symbol
_atom_site_fract_x
_atom_site_fract_y
_atom_site_fract_z
F1 F 0.500 0.000 0.500
F2 F 0.000 0.500 0.000
F3 F 0.500 0.500 0.500
F4 F 0.000 0.000 0.000
Pt1 Pt 0.260 0.250 0.999
Pt2 Pt 0.240 0.750 0.499
Pt3 Pt 0.760 0.250 0.501
Pt4 Pt 0.740 0.750 0.001
Na1 Na 0.924 0.750 0.500
Na2 Na 0.076 0.250 0.500
Na3 Na 0.576 0.250 0.000
Na4 Na 0.424 0.750 0.000
```

Tell me which of them is the most stable. Sure, it is (w).

(w)
The following is a DFT calculation (GGA-PBE) of crystalline NaPtF at its relaxed geometry.

Geometry as CIF:
```
data_NaPtF
_chemical_formula_sum 'Na2 Pt2 F2'
_symmetry_space_group_name_H-M 'P 1'
_symmetry_Int_Tables_number 1
_cell_length_a 2.885
_cell_length_b 10.687
_cell_length_c 10.687
_cell_angle_alpha 164.83
_cell_angle_beta 90.00
_cell_angle_gamma 90.00
loop_
_symmetry_equiv_pos_as_xyz
'x,y,z'
loop_
_atom_site_label
_atom_site_type_symbol
_atom_site_fract_x
_atom_site_fract_y
_atom_site_fract_z
Na1 Na 0.500 0.108 0.892
Na2 Na 0.000 0.246 0.754
F1 F 0.000 0.564 0.436
F2 F 0.500 0.696 0.304
Pt1 Pt 0.500 0.868 0.132
Pt2 Pt 0.000 0.458 0.542
```

(x)
The following is a DFT calculation (GGA-PBE) of crystalline NaPtF at its relaxed geometry.

Geometry as CIF:
```
data_NaPtF
_chemical_formula_sum 'Na1 Pt1 F1'
_symmetry_space_group_name_H-M 'P 1'
_symmetry_Int_Tables_number 1
_cell_length_a 4.192
_cell_length_b 4.192
_cell_length_c 4.192
_cell_angle_alpha 60.00
_cell_angle_beta 60.00
_cell_angle_gamma 60.00
loop_
_symmetry_equiv_pos_as_xyz
'x,y,z'
loop_
_atom_site_label
_atom_site_type_symbol
_atom_site_fract_x
_atom_site_fract_y
_atom_site_fract_z
F1 F 0.000 0.000 0.000
Pt1 Pt 0.750 0.750 0.750
Na1 Na 0.250 0.250 0.250
```

(y)
The following is a DFT calculation (GGA-PBE) of crystalline NaPtF at its relaxed geometry.

Geometry as CIF:
```
data_NaPtF
_chemical_formula_sum 'Na2 Pt2 F2'
_symmetry_space_group_name_H-M 'P 1'
_symmetry_Int_Tables_number 1
_cell_length_a 3.563
_cell_length_b 3.563
_cell_length_c 9.377
_cell_angle_alpha 90.00
_cell_angle_beta 90.00
_cell_angle_gamma 120.00
loop_
_symmetry_equiv_pos_as_xyz
'x,y,z'
loop_
_atom_site_label
_atom_site_type_symbol
_atom_site_fract_x
_atom_site_fract_y
_atom_site_fract_z
Na1 Na 0.667 0.333 0.750
Na2 Na 0.333 0.667 0.250
F1 F 0.000 0.000 0.750
F2 F 0.000 0.000 0.250
Pt1 Pt 0.000 0.000 0.500
Pt2 Pt 0.000 0.000 0.000
```

Tell me which of them is the most stable. Sure, it is (w).